Material: Ba2HoMgSe5
Method: DFT, PBE
State: optimized geometry

Results
VASP energy: -4.701 eV/atom
formation energy (no corrections): -1.6518 eV/atom
V: 542.5 Å³ per cell

abc: 9.566 9.566 13.283
angles: 90.00 90.00 153.49
Fractional positions:
Ba1 0.111 0.889 0.500
Ba2 0.130 0.870 0.126
Ba3 0.870 0.130 0.626
Ba4 0.889 0.111 0.000
Ho1 0.209 0.791 0.828
Ho2 0.791 0.209 0.328
Mg1 0.447 0.553 0.263
Mg2 0.553 0.447 0.763
Se1 0.055 0.945 0.865
Se2 0.290 0.710 0.469
Se3 0.311 0.689 0.186
Se4 0.359 0.641 0.818
Se5 0.496 0.504 0.590
Se6 0.504 0.496 0.090
Se7 0.641 0.359 0.318
Se8 0.689 0.311 0.686
Se9 0.710 0.290 0.969
Se10 0.945 0.055 0.365